(1)
Here is an optimized crystal structure of Hf3TaPb from Alexandria. Energies are from PBE.

```
data_Hf3TaPb
_space_group_name_H-M_alt 'P m -3 m'
_space_group_IT_number 221
_space_group_name_Hall '-P 4 2 3'
_cell_length_a 5.210
_cell_length_b 5.210
_cell_length_c 5.210
_cell_angle_alpha 90.00
_cell_angle_beta 90.00
_cell_angle_gamma 90.00
loop_
_atom_site_label
_atom_site_type_symbol
_atom_site_fract_x
_atom_site_fract_y
_atom_site_fract_z
Hf1 Hf 0.000 0.000 0.500
Ta1 Ta 0.500 0.500 0.500
Pb1 Pb 0.000 0.000 0.000
```

The value obtained for the formation energy is 1.735 eV per atom. The calculation puts the total energy at -36.75 eV per cell.


(2)
Here is an optimized crystal structure of Dy9Ho11Th4 from Alexandria. Energies are from PBE.

```
data_Dy9Ho11Th4
_space_group_name_H-M_alt 'C m m m'
_space_group_IT_number 65
_space_group_name_Hall '-C 2 2'
_cell_length_a 16.269
_cell_length_b 26.245
_cell_length_c 3.571
_cell_angle_alpha 90.00
_cell_angle_beta 90.00
_cell_angle_gamma 90.00
loop_
_atom_site_label
_atom_site_type_symbol
_atom_site_fract_x
_atom_site_fract_y
_atom_site_fract_z
Dy1 Dy 0.000 0.000 0.000
Dy2 Dy 0.107 0.219 0.000
Dy3 Dy 0.109 0.406 0.000
Ho1 Ho 0.000 0.124 0.500
Ho2 Ho 0.000 0.313 0.500
Ho3 Ho 0.000 0.500 0.500
Ho4 Ho 0.214 0.500 0.500
Ho5 Ho 0.219 0.315 0.500
Th1 Th 0.169 0.086 0.000
```

The value obtained for the formation energy is 0.076 eV per atom. The calculation puts the total energy at -239.25 eV per cell.


(3)
Here is an optimized crystal structure of RbHg2Pd2 from Alexandria. Energies are from PBE.

```
data_RbHg2Pd2
_space_group_name_H-M_alt 'I 4/m m m'
_space_group_IT_number 139
_space_group_name_Hall '-I 4 2'
_cell_length_a 4.920
_cell_length_b 4.920
_cell_length_c 10.751
_cell_angle_alpha 90.00
_cell_angle_beta 90.00
_cell_angle_gamma 90.00
loop_
_atom_site_label
_atom_site_type_symbol
_atom_site_fract_x
_atom_site_fract_y
_atom_site_fract_z
Rb1 Rb 0.000 0.000 0.000
Hg1 Hg 0.000 0.500 0.250
Pd1 Pd 0.000 0.000 0.375
```

The value obtained for the formation energy is -0.070 eV per atom. The calculation puts the total energy at -24.62 eV per cell.


(4)
Here is an optimized crystal structure of Ac2ScTl2 from Alexandria. Energies are from PBE.

```
data_Ac2ScTl2
_space_group_name_H-M_alt 'I m m m'
_space_group_IT_number 71
_space_group_name_Hall '-I 2 2'
_cell_length_a 4.802
_cell_length_b 6.954
_cell_length_c 10.266
_cell_angle_alpha 90.00
_cell_angle_beta 90.00
_cell_angle_gamma 90.00
loop_
_atom_site_label
_atom_site_type_symbol
_atom_site_fract_x
_atom_site_fract_y
_atom_site_fract_z
Ac1 Ac 0.000 0.000 0.195
Sc1 Sc 0.000 0.500 0.000
Tl1 Tl 0.000 0.257 0.500
```

The value obtained for the formation energy is -0.265 eV per atom. The calculation puts the total energy at -41.21 eV per cell.